## Y2MgW (PBE)

Data for crystalline Y2MgW at its relaxed geometry.

a b c (Å): 10.818 10.818 10.818
angles (deg): 17.41 17.41 17.41
Fractional coordinates of all 4 atoms:
Y: 0.492 0.492 0.492
Mg: 0.250 0.250 0.250
W: 0.750 0.750 0.750
Y: 0.008 0.008 0.008

Values from the calculation:
Energy relative to the elements in kcal/mol of atoms: 11.289
Fermi-level density of states in states/eV per atom: 1.573